Density functional theory data (GGA-PBE) for a relaxed structure of NaAcPmAl.

Its formation energy is -23 meV/atom. The energy comes out at -14.014 eV/f.u.

The structure belongs to space group F-43m (No. 216); the cell edges are 7.899, 7.899 and 7.899 Å and the angles 90.00°, 90.00° and 90.00°. The inequivalent atoms are Na at (0.000, 0.000, 0.000), Ac at (0.250, 0.250, 0.250), Pm at (0.250, 0.250, 0.750) and Al at (0.000, 0.000, 0.500).


Density functional theory data (GGA-PBE) for a relaxed structure of NaAcPrAl.

Its formation energy is -33 meV/atom. The energy comes out at -14.082 eV/f.u.

The structure belongs to space group F-43m (No. 216); the cell edges are 7.944, 7.944 and 7.944 Å and the angles 90.00°, 90.00° and 90.00°. The inequivalent atoms are Na at (0.000, 0.000, 0.000), Ac at (0.250, 0.250, 0.750), Pr at (0.250, 0.250, 0.250) and Al at (0.000, 0.000, 0.500).


Density functional theory data (GGA-PBE) for a relaxed structure of Na2AcAlS4.

The energy comes out at -37.852 eV/f.u.

The structure belongs to space group Imma (No. 74); the cell edges are 7.570, 8.620 and 11.346 Å and the angles 90.00°, 90.00° and 90.00°. The inequivalent atoms are Na at (0.000, 0.000, 0.000), Na at (0.250, 0.250, 0.250), Ac at (0.000, 0.000, 0.500), Al at (0.250, 0.250, 0.750), S at (0.000, 0.058, 0.756) and S at (0.242, 0.250, 0.987).


Density functional theory data (GGA-PBE) for a relaxed structure of NaAcSmAl.

Its formation energy is -19 meV/atom. The energy comes out at -13.964 eV/f.u.

The structure belongs to space group F-43m (No. 216); the cell edges are 7.884, 7.884 and 7.884 Å and the angles 90.00°, 90.00° and 90.00°. The inequivalent atoms are Na at (0.000, 0.000, 0.000), Ac at (0.250, 0.250, 0.250), Sm at (0.250, 0.250, 0.750) and Al at (0.000, 0.000, 0.500).


Density functional theory data (GGA-PBE) for a relaxed structure of NaSrAcAl.

Its formation energy is -14 meV/atom. The energy comes out at -10.907 eV/f.u.

The structure belongs to space group F-43m (No. 216); the cell edges are 8.206, 8.206 and 8.206 Å and the angles 90.00°, 90.00° and 90.00°. The inequivalent atoms are Na at (0.000, 0.000, 0.000), Sr at (0.250, 0.250, 0.750), Ac at (0.250, 0.250, 0.250) and Al at (0.000, 0.000, 0.500).


Density functional theory data (GGA-PBE) for a relaxed structure of Na4Ac3AlTe8.

The energy comes out at -64.607 eV/f.u.

The structure belongs to space group C2/m (No. 12); the cell edges are 16.035, 9.292 and 9.330 Å and the angles 90.00°, 125.20° and 90.00°. The inequivalent atoms are Na at (0.000, 0.000, 0.000), Na at (0.000, 0.500, 0.000), Na at (0.250, 0.250, 0.500), Ac at (0.000, 0.000, 0.500), Ac at (0.250, 0.250, 0.000), Al at (0.000, 0.500, 0.500), Te at (0.003, 0.285, 0.283), Te at (0.249, 0.500, 0.251) and Te at (0.249, 0.500, 0.747).